# 1
Compound: LaPOs
Source: Alexandria
Functional: PBE-GGA
Structure: optimized geometry

abc: 4.5373 4.5373 4.5373
angles: 60.00 60.00 60.00
Each line ends with the local moment (μB).
Atoms (fractional coordinates):
Os: 0.5000 0.5000 0.5000  1.23
La: 0.0000 0.0000 0.0000  0.05
P: 0.7500 0.7500 0.7500  0.06

Properties
- total energy (eV per cell) = -21.3
- spin magnetization (μB/f.u.) = 1.609
- calculated volume (Å³ per cell) = 66.1
- DOS at the Fermi energy (states/eV/cell) = 3.00

=====

# 2
Compound: BaLiNi3
Source: Alexandria
Functional: PBE-GGA
Structure: optimized geometry

abc: 5.0518 5.0518 5.0518
angles: 90.00 90.00 90.00
Atoms (fractional coordinates):
Li: 0.5000 0.5000 0.5000
Ni: 0.0000 0.5000 0.0000
Ni: 0.5000 0.0000 0.0000
Ni: 0.0000 0.0000 0.5000
Ba: 0.0000 0.0000 0.0000

Properties
- distance to the lowest polymorph of the same formula (meV/atom) = 1048
- total energy (eV per cell) = -13.3
- spin magnetization (μB/f.u.) = 0.000
- calculated volume (Å³ per cell) = 128.9
- DOS at the Fermi energy (states/eV/cell) = 10.05

=====

# 3
Compound: PmH8IrAu2
Source: Alexandria
Functional: PBE-GGA
Structure: optimized geometry

abc: 5.1834 4.8334 6.3604
angles: 51.42 92.76 93.12
Atoms (fractional coordinates):
H: 0.9790 0.3446 0.6715
Ir: 0.0000 0.0000 0.0000
H: 0.8258 0.2311 0.0576
H: 0.7304 0.8818 0.9008
H: 0.4150 0.2197 0.4899
H: 0.0210 0.6554 0.3285
H: 0.5850 0.7803 0.5101
Pm: 0.0000 0.0000 0.5000
H: 0.2696 0.1182 0.0992
Au: 0.5596 0.5501 0.2179
H: 0.1742 0.7689 0.9424
Au: 0.4404 0.4499 0.7821

Properties
- total energy (eV per cell) = -48.8
- spin magnetization (μB/f.u.) = 0.000
- calculated volume (Å³ per cell) = 124.4
- DOS at the Fermi energy (states/eV/cell) = 0.15

=====

Question: What is the DOS at the Fermi energy in the third record?
Answer: 0.15 states/eV/cell

=====

Question: What is the spin magnetization in the second record?
Answer: 0.000 μB/f.u.

=====

What did the third record say?
Compound: PmH8IrAu2
Source: Alexandria
Functional: PBE-GGA
Structure: optimized geometry

abc: 5.1834 4.8334 6.3604
angles: 51.42 92.76 93.12
Atoms (fractional coordinates):
H: 0.9790 0.3446 0.6715
Ir: 0.0000 0.0000 0.0000
H: 0.8258 0.2311 0.0576
H: 0.7304 0.8818 0.9008
H: 0.4150 0.2197 0.4899
H: 0.0210 0.6554 0.3285
H: 0.5850 0.7803 0.5101
Pm: 0.0000 0.0000 0.5000
H: 0.2696 0.1182 0.0992
Au: 0.5596 0.5501 0.2179
H: 0.1742 0.7689 0.9424
Au: 0.4404 0.4499 0.7821

Properties
- total energy (eV per cell) = -48.8
- spin magnetization (μB/f.u.) = 0.000
- calculated volume (Å³ per cell) = 124.4
- DOS at the Fermi energy (states/eV/cell) = 0.15

=====

Question: Among the records above, which one has the lowest total energy?
Answer: PmH8IrAu2